A relaxed PuZnTcRh crystal. Source: Alexandria, functional GGA-PBE.

Cell: 4.542 4.542 4.542 Å, 60.00 60.00 60.00°
Fractional positions:
Zn 0.000 0.000 0.000
Rh 0.750 0.750 0.750
Tc 0.250 0.250 0.250
Pu 0.500 0.500 0.500

Computed properties:
ΔH_f (0 K), eV per formula unit: -0.90
Density of states at the Fermi level, states/eV/f.u.: 5.649
Uncorrected energy, hartree per atom: -0.314